The following is a DFT calculation (PBE) of a relaxed structure of Nd3Er2Tm5.

Computed properties:
SG = C2/c (15)
Crystal system = monoclinic
Formation energy = 0.1953 eV/atom
Fermi-level density of states = 1.681 states/eV/atom

Cell and atoms, written as POSCAR:
```
Nd3Er2Tm5
1.0
8.3554 1.6262 -3.9186
0.2691 8.4600 -3.9662
-1.7106 -1.9170 10.7871
Nd Tm Er
6 10 4
Direct
0.0213 0.7764 0.2529
0.7316 0.4766 0.2529
0.7646 0.0146 0.0292
0.2354 0.9854 0.9708
0.2684 0.5234 0.7471
0.9787 0.2236 0.7471
0.5294 0.2794 0.5587
0.9725 0.2225 0.4450
0.6315 0.8832 0.2807
0.4706 0.7206 0.4413
0.2720 0.5220 0.0440
0.3685 0.1168 0.7193
0.7280 0.4780 0.9560
0.0275 0.7775 0.5550
0.1492 0.3975 0.2807
0.8508 0.6025 0.7193
0.7666 0.0132 0.7317
0.2334 0.9868 0.2683
0.5349 0.2815 0.2683
0.4651 0.7185 0.7317
```

***

The following is a DFT calculation (PBE) of a relaxed structure of CaC2ICl.

Computed properties:
SG = P4/mmm (123)
Crystal system = tetragonal
Fermi-level density of states = 0.493 states/eV/atom
Energy relative to the elements, uncorrected = 1.8018 eV/atom

Cell and atoms, written as POSCAR:
```
CaC2ICl
1.0
5.2627 0.0000 0.0000
0.0000 5.0325 0.0000
0.0000 0.0000 5.2627
C I Ca Cl
2 1 1 1
Direct
0.0000 0.0000 0.5000
0.5000 0.0000 0.0000
0.5000 0.5000 0.5000
0.0000 0.0000 0.0000
0.0000 0.5000 0.0000
```

***

The following is a DFT calculation (PBE) of a relaxed structure of TbPrY2Se4.

Computed properties:
SG = P2/m (10)
Crystal system = monoclinic
Fermi-level density of states = 0.594 states/eV/atom
Energy relative to the elements, uncorrected = -1.7823 eV/atom

Cell and atoms, written as POSCAR:
```
TbPrY2Se4
1.0
4.0768 0.0000 0.0000
0.0000 7.2087 -0.1918
0.0000 2.4901 6.7384
Se Tb Pr Y
4 1 1 2
Direct
0.0000 0.2391 0.2604
0.5000 0.7558 0.2546
0.5000 0.2442 0.7453
0.0000 0.7609 0.7396
0.0000 0.5000 0.5000
0.5000 0.5000 0.0000
0.5000 0.0000 0.5000
0.0000 0.0000 0.0000
```

***

The following is a DFT calculation (PBE) of a relaxed structure of Li2CeAlH8.

Computed properties:
SG = P-1 (2)
Crystal system = triclinic
Fermi-level density of states = 0.513 states/eV/atom

Cell and atoms, written as POSCAR:
```
Li2CeAlH8
1.0
-3.5952 1.4802 -2.1153
-2.5770 -3.3161 1.2366
-3.0172 1.0010 5.2134
H Ce Li Al
8 1 2 1
Direct
0.4835 0.2383 0.4778
0.7710 0.2254 0.1241
0.9627 0.6389 0.2827
0.0373 0.3611 0.7173
0.7124 0.9213 0.8604
0.5165 0.7617 0.5222
0.2876 0.0787 0.1396
0.2290 0.7746 0.8759
0.0000 0.0000 0.5000
0.5168 0.6489 0.2383
0.4832 0.3511 0.7617
0.0000 0.0000 0.0000
```

***

The following is a DFT calculation (PBE) of a relaxed structure of ScIrSe2.

Computed properties:
SG = P4/mmm (123)
Crystal system = tetragonal
Distance to the lowest polymorph of the same formula = 27.7 kJ per mole of atoms
Fermi-level density of states = 0.443 states/eV/atom
Energy relative to the elements, uncorrected = -0.6086 eV/atom

Cell and atoms, written as POSCAR:
```
ScIrSe2
1.0
4.5419 0.0000 0.0000
0.0000 4.5425 0.0000
0.0000 0.0000 3.3060
Se Ir Sc
2 1 1
Direct
0.0000 0.0000 0.0000
0.5000 0.5000 0.0000
0.5000 0.0000 0.5000
0.0000 0.5000 0.5000
```

***

The following is a DFT calculation (PBE) of a relaxed structure of RbTeH.

Computed properties:
SG = P1 (1)
Crystal system = triclinic

Cell and atoms, written as POSCAR:
```
RbTeH
1.0
8.7393 0.0000 0.0000
-3.9906 4.3495 0.0000
1.9899 -2.1593 5.1213
H Rb Te
2 2 2
Direct
0.6616 0.9896 0.1992
0.6624 0.8617 0.0709
0.1632 0.4597 0.1015
0.6635 0.6282 0.4336
0.9420 0.5725 0.7698
0.3844 0.0149 0.7653
```

***

The following is a DFT calculation (PBE) of a relaxed structure of LiRuC2N.

Computed properties:
SG = P4/mmm (123)
Crystal system = tetragonal
Fermi-level density of states = 0.883 states/eV/atom
Energy relative to the elements, uncorrected = 2.9150 eV/atom

Cell and atoms, written as POSCAR:
```
LiRuC2N
1.0
-0.7100 -0.5787 3.0540
-4.5642 -1.0644 -1.2627
0.8203 -3.0565 -0.3885
C N Li Ru
2 1 1 1
Direct
0.5000 0.0000 0.0000
0.0000 0.0000 0.5000
0.5000 0.5000 0.5000
0.0000 0.0000 0.0000
0.0000 0.5000 0.0000
```

***

The following is a DFT calculation (PBE) of a relaxed structure of Rb2Li2NdI6.

Computed properties:
SG = C2/m (12)
Crystal system = monoclinic
Fermi-level density of states = 0.312 states/eV/atom
Energy relative to the elements, uncorrected = -1.2265 eV/atom

Cell and atoms, written as POSCAR:
```
Rb2Li2NdI6
1.0
8.8012 0.0000 0.0000
-4.4006 7.1528 0.2283
0.0000 -3.8694 7.9003
I Li Rb Nd
6 2 2 1
Direct
0.1896 0.8796 0.2069
0.6900 0.8796 0.2069
0.2580 0.5159 0.3971
0.8104 0.1204 0.7931
0.7420 0.4841 0.6029
0.3100 0.1204 0.7931
0.0565 0.1130 0.2667
0.9435 0.8870 0.7333
0.2974 0.5947 0.8316
0.7026 0.4053 0.1684
0.5000 0.0000 0.5000
```

***

Number 1: VASP energy -87.7 eV for the cell shown, mass density 8.2 g/cm³. Number 2: VASP energy -14.8 eV for the cell shown, mass density 2.7 g/cm³. Number 3: VASP energy -50.5 eV for the cell shown, mass density 6.6 g/cm³. Number 4: VASP energy -43.8 eV for the cell shown, mass density 2.9 g/cm³. Number 5: VASP energy -24.6 eV for the cell shown, mass density 9.6 g/cm³. Number 6: VASP energy -18.3 eV for the cell shown, mass density 3.7 g/cm³. Number 7: VASP energy -23.4 eV for the cell shown, mass density 4.9 g/cm³. Number 8: VASP energy -33.3 eV for the cell shown, mass density 3.6 g/cm³.